*i*
## PrCu3Ni (PBE-GGA)

Data for a relaxed PrCu3Ni crystal.

a b c (Å): 4.528 6.355 6.390
angles (deg): 90.00 90.00 90.00
Positions (direct):
Pr: 0.500 0.000 0.000
Pr: 0.500 0.500 0.500
Cu: 0.500 0.500 0.000
Cu: 0.500 0.000 0.500
Cu: 0.000 0.750 0.250
Cu: 0.000 0.250 0.250
Cu: 0.000 0.250 0.750
Cu: 0.000 0.750 0.750
Ni: 0.000 0.500 0.000
Ni: 0.000 0.000 0.500

Calculated values
- Total magnetization: 0.0 Bohr magnetons per cell
- Density: 7.05 Mg/m³

=====

*ii*
## PrCu3Ni (PBE-GGA)

Data for a relaxed PrCu3Ni crystal.

a b c (Å): 4.883 5.631 6.518
angles (deg): 115.59 90.00 90.00
Positions (direct):
Pr: 0.250 0.391 0.782
Pr: 0.750 0.609 0.218
Cu: 0.250 0.810 0.620
Cu: 0.750 0.190 0.380
Cu: 0.250 0.367 0.299
Cu: 0.750 0.633 0.701
Cu: 0.250 0.932 0.299
Cu: 0.750 0.068 0.701
Ni: 0.000 0.000 0.000
Ni: 0.500 0.000 0.000

Calculated values
- Total magnetization: 0.0 Bohr magnetons per cell
- Density: 8.02 Mg/m³

=====

Name the least stable of them. *i*.

=====

*i*
## PrYCuNi (PBE-GGA)

Data for a relaxed PrYCuNi crystal.

a b c (Å): 3.802 4.412 5.646
angles (deg): 90.00 109.67 90.00
Positions (direct):
Pr: 0.859 0.500 0.718
Y: 0.135 0.000 0.270
Cu: 0.571 0.500 0.142
Ni: 0.435 0.000 0.869

Calculated values
- Total magnetization: 0.0 Bohr magnetons per cell
- Density: 6.56 Mg/m³

=====

*ii*
## PrYCuNi (PBE-GGA)

Data for a relaxed PrYCuNi crystal.

a b c (Å): 4.959 4.959 4.959
angles (deg): 60.00 60.00 60.00
Positions (direct):
Pr: 0.250 0.250 0.250
Y: 0.750 0.750 0.750
Cu: 0.000 0.000 0.000
Ni: 0.500 0.500 0.500

Calculated values
- Total magnetization: 0.0 Bohr magnetons per cell
- Density: 6.78 Mg/m³

=====

Name the least stable of them. *ii*.

=====

*i*
## Cu3Ni2Pt4 (PBE-GGA)

Data for a relaxed Cu3Ni2Pt4 crystal.

a b c (Å): 2.655 7.351 7.351
angles (deg): 64.93 79.60 79.60
Positions (direct):
Cu: 0.343 0.157 0.157
Cu: 0.500 0.500 0.500
Cu: 0.657 0.843 0.843
Ni: 0.000 0.832 0.168
Ni: 0.000 0.168 0.832
Pt: 0.334 0.491 0.841
Pt: 0.666 0.159 0.509
Pt: 0.666 0.509 0.159
Pt: 0.334 0.841 0.491

Calculated values
- Total magnetization: 1.9 Bohr magnetons per cell
- Density: 14.24 Mg/m³

=====

*ii*
## Cu3Ni2Pt4 (PBE-GGA)

Data for a relaxed Cu3Ni2Pt4 crystal.

a b c (Å): 3.836 4.555 7.977
angles (deg): 75.65 90.00 65.09
Positions (direct):
Cu: 0.333 0.334 0.449
Cu: 0.000 0.000 0.000
Cu: 0.667 0.666 0.551
Ni: 0.333 0.334 0.775
Ni: 0.667 0.666 0.225
Pt: 0.667 0.666 0.887
Pt: 0.005 0.991 0.333
Pt: 0.995 0.009 0.667
Pt: 0.333 0.334 0.113

Calculated values
- Total magnetization: 1.9 Bohr magnetons per cell
- Density: 14.86 Mg/m³

=====

Name the least stable of them. *i*.